The following is a DFT calculation (GGA-PBE) of an optimized crystal structure of SrBeCl4.

Calculated values
The total energy comes out at -13.49 eV for the cell shown. The calculation puts the size of the total moment at 2.04 μB per formula unit. The uncorrected formation energy comes out at -0.117 eV/atom. As for the energy relative to the lowest polymorph listed for this composition: 1819.4 meV/atom.

abc: 6.0348 6.0348 6.0348
angles: 60.00 60.00 60.00
Atoms (fractional coordinates):
Cl1 0.3745 0.8766 0.3745
Cl2 0.8766 0.3745 0.3745
Cl3 0.3745 0.3745 0.3745
Cl4 0.3745 0.3745 0.8766
Be1 0.0000 0.0000 0.0000
Sr1 0.7500 0.7500 0.7500